Entry from Alexandria via LeMat-Bulk: a relaxed structure of Pm6Cd5Pd (PBE-GGA).

a = 9.256 Å, b = 9.256 Å, c = 5.342 Å
α = 106.72°, β = 106.72°, γ = 48.68°
Fractional positions:
Pm 0.080 0.603 0.341
Pm 0.233 0.767 0.000
Pm 0.397 0.920 0.659
Pm 0.603 0.080 0.341
Pm 0.767 0.233 0.000
Pm 0.920 0.397 0.659
Cd 0.182 0.182 0.182
Cd 0.332 0.332 0.833
Cd 0.500 0.500 0.500
Cd 0.668 0.668 0.167
Cd 0.818 0.818 0.818
Pd 0.000 0.000 0.500

Calculated values
The calculation puts the density of states at the Fermi level at 0.931 states/eV/atom. The space group is C2/m, No. 12. As for the energy relative to the elements: -388 meV per atom.